[1]
A relaxed structure of YSi2Ni, computed with PBE-GGA.

The structure in POSCAR format:
```
YSi2Ni
1.0
-1.951 0.367 -3.342
-0.189 -2.992 -2.473
-4.952 -2.506 0.351
Si Y Ni
2 1 1
direct
0.460 0.460 0.618
0.040 0.040 0.882
0.250 0.250 0.250
0.750 0.750 0.750
```

Computed properties:
**SG**: C2/m, No. 12
**Formation energy (no corrections)**: -0.775 eV per atom
**N(E_F)**: 1.01 states/eV/cell
**E_tot**: -6.55 eV/atom

=====

[2]
A relaxed structure of YSiNi2, computed with PBE-GGA.

The structure in POSCAR format:
```
YSiNi2
1.0
2.968 0.008 0.000
-0.008 2.968 0.000
0.000 0.000 6.731
Ni Si Y
2 1 1
direct
0.000 0.000 0.064
0.000 0.000 0.436
0.500 0.500 0.250
0.500 0.500 0.750
```

Computed properties:
**SG**: P4/mmm, No. 123
**Formation energy (no corrections)**: -0.339 eV per atom
**N(E_F)**: 2.39 states/eV/cell
**E_tot**: -6.20 eV/atom